(1)
An optimized crystal structure of In5S, computed with PBE.

```
In5S
1.0
5.787 0.000 0.000
0.000 15.012 0.000
0.000 0.000 3.639
In S
10 2
Direct
0.000 0.000 0.000
0.000 0.183 0.500
0.000 0.360 0.000
0.000 0.640 0.000
0.000 0.817 0.500
0.500 0.140 0.000
0.500 0.317 0.500
0.500 0.500 0.000
0.500 0.683 0.500
0.500 0.860 0.000
0.000 0.500 0.500
0.500 0.000 0.500
```

## Properties
Space group = No. 65
DOS at the Fermi energy = 4.690 states/eV/cell
Total DFT energy (no corrections) = -3.024 eV per atom
Energy relative to the elements, uncorrected = -0.0540 eV/atom



(2)
An optimized crystal structure of In2S3, computed with PBE.

```
In2S3
1.0
6.876 -3.710 0.000
6.876 3.710 0.000
-2.585 0.000 13.111
In S
8 12
Direct
0.000 0.000 0.000
0.106 0.106 0.585
0.107 0.621 0.528
0.118 0.118 0.333
0.509 0.509 0.822
0.621 0.107 0.528
0.637 0.637 0.517
0.797 0.797 0.794
0.165 0.665 0.897
0.265 0.806 0.436
0.299 0.299 0.396
0.476 0.476 0.629
0.488 0.973 0.648
0.665 0.165 0.897
0.679 0.679 0.913
0.774 0.774 0.410
0.806 0.265 0.436
0.954 0.954 0.659
0.973 0.488 0.648
0.996 0.996 0.176
```

## Properties
Space group = No. 8
Total DFT energy (no corrections) = -3.994 eV per atom
Energy relative to the elements, uncorrected = -0.4219 eV/atom



(3)
An optimized crystal structure of In2S3, computed with PBE.

```
In2S3
1.0
3.994 0.000 0.000
0.000 12.157 0.000
0.000 0.000 5.696
In S
4 6
Direct
0.000 0.158 0.000
0.000 0.842 0.000
0.500 0.342 0.500
0.500 0.658 0.500
0.000 0.000 0.742
0.000 0.338 0.775
0.000 0.662 0.775
0.500 0.162 0.275
0.500 0.500 0.242
0.500 0.838 0.275
```

## Properties
Space group = No. 44
Total DFT energy (no corrections) = -4.095 eV per atom
Energy relative to the elements, uncorrected = -0.5227 eV/atom



(4)
An optimized crystal structure of InS2, computed with PBE.

```
InS2
1.0
6.150 0.000 0.000
0.000 6.150 0.000
0.000 0.000 3.950
In S
2 4
Direct
0.000 0.000 0.000
0.500 0.500 0.500
0.194 0.194 0.500
0.306 0.694 0.000
0.694 0.306 0.000
0.806 0.806 0.500
```

## Properties
Space group = No. 136
DOS at the Fermi energy = 6.325 states/eV/cell
Total DFT energy (no corrections) = -3.697 eV per atom
Energy relative to the elements, uncorrected = -0.0329 eV/atom



(5)
An optimized crystal structure of In3S, computed with PBE.

```
In3S
1.0
3.706 0.000 0.000
0.000 3.800 0.000
0.000 0.000 7.548
In S
3 1
Direct
0.000 0.000 0.000
0.000 0.500 0.434
0.500 0.500 0.774
0.500 0.000 0.280
```

## Properties
Space group = No. 25
DOS at the Fermi energy = 1.416 states/eV/cell
Total DFT energy (no corrections) = -3.204 eV per atom
Energy relative to the elements, uncorrected = -0.1182 eV/atom



(6)
An optimized crystal structure of InS2, computed with PBE.

```
InS2
1.0
3.634 0.000 0.000
0.000 3.634 0.000
0.000 0.000 9.319
In S
2 4
Direct
0.250 0.250 0.220
0.750 0.750 0.780
0.250 0.250 0.858
0.250 0.750 0.500
0.750 0.250 0.500
0.750 0.750 0.142
```

## Properties
Space group = No. 129
DOS at the Fermi energy = 1.674 states/eV/cell
Total DFT energy (no corrections) = -3.751 eV per atom
Energy relative to the elements, uncorrected = -0.0864 eV/atom



(7)
An optimized crystal structure of In2S3, computed with PBE.

```
In2S3
1.0
-3.871 3.871 16.488
3.871 -3.871 16.488
3.871 3.871 -16.488
In S
16 24
Direct
0.000 0.000 0.000
0.000 0.000 0.500
0.000 0.500 0.000
0.150 0.668 0.482
0.204 0.454 0.750
0.314 0.332 0.982
0.332 0.314 0.482
0.332 0.850 0.018
0.454 0.204 0.250
0.500 0.000 0.500
0.546 0.796 0.750
0.668 0.150 0.982
0.668 0.686 0.518
0.686 0.668 0.018
0.796 0.546 0.250
0.850 0.332 0.518
0.078 0.090 0.512
0.078 0.565 0.988
0.090 0.078 0.012
0.109 0.587 0.522
0.243 0.749 0.493
0.244 0.251 0.993
0.251 0.244 0.493
0.251 0.757 0.007
0.413 0.435 0.522
0.413 0.891 0.978
0.435 0.413 0.022
0.435 0.922 0.512
0.565 0.078 0.488
0.565 0.587 0.978
0.587 0.109 0.022
0.587 0.565 0.478
0.749 0.243 0.993
0.749 0.756 0.507
0.756 0.749 0.007
0.757 0.251 0.507
0.891 0.413 0.478
0.910 0.922 0.988
0.922 0.435 0.012
0.922 0.910 0.488
```

## Properties
Space group = No. 141
Total DFT energy (no corrections) = -4.122 eV per atom
Energy relative to the elements, uncorrected = -0.5501 eV/atom



(8)
An optimized crystal structure of InS, computed with PBE.

```
InS
1.0
7.721 0.000 0.000
0.000 7.721 0.000
0.000 0.000 7.721
In S
6 6
Direct
0.000 0.250 0.500
0.000 0.750 0.500
0.250 0.500 0.000
0.500 0.000 0.250
0.500 0.000 0.750
0.750 0.500 0.000
0.000 0.500 0.250
0.000 0.500 0.750
0.250 0.000 0.500
0.500 0.250 0.000
0.500 0.750 0.000
0.750 0.000 0.500
```

## Properties
Space group = No. 223
DOS at the Fermi energy = 13.378 states/eV/cell
Total DFT energy (no corrections) = -3.607 eV per atom
Energy relative to the elements, uncorrected = -0.1744 eV/atom



(9)
An optimized crystal structure of InS, computed with PBE.

```
InS
1.0
6.302 0.000 0.000
0.000 6.302 0.000
0.000 0.000 6.302
In S
4 4
Direct
0.000 0.000 0.000
0.000 0.500 0.500
0.500 0.000 0.500
0.500 0.500 0.000
0.250 0.250 0.250
0.250 0.750 0.750
0.750 0.250 0.750
0.750 0.750 0.250
```

## Properties
Space group = No. 216
DOS at the Fermi energy = 5.925 states/eV/cell
Total DFT energy (no corrections) = -3.683 eV per atom
Energy relative to the elements, uncorrected = -0.2498 eV/atom



(10)
An optimized crystal structure of In2SbS5, computed with PBE.

```
In2SbS5
1.0
2.639 -6.430 0.000
2.639 6.430 0.000
0.000 0.000 12.471
In Sb S
4 2 10
Direct
0.150 0.850 0.561
0.150 0.850 0.939
0.850 0.150 0.061
0.850 0.150 0.439
0.193 0.807 0.250
0.807 0.193 0.750
0.048 0.952 0.115
0.048 0.952 0.385
0.251 0.749 0.750
0.316 0.684 0.069
0.316 0.684 0.431
0.684 0.316 0.569
0.684 0.316 0.931
0.749 0.251 0.250
0.952 0.048 0.615
0.952 0.048 0.885
```

## Properties
Space group = No. 63
DOS at the Fermi energy = 5.091 states/eV/cell
Total DFT energy (no corrections) = -4.050 eV per atom
Energy relative to the elements, uncorrected = -0.2709 eV/atom



(11)
An optimized crystal structure of InSb2S2, computed with PBE.

```
InSb2S2
1.0
8.809 0.000 0.000
0.000 8.809 0.000
0.000 0.000 3.617
In Sb S
2 4 4
Direct
0.000 0.000 0.000
0.500 0.500 0.000
0.221 0.279 0.000
0.279 0.779 0.000
0.721 0.221 0.000
0.779 0.721 0.000
0.139 0.639 0.500
0.361 0.139 0.500
0.639 0.861 0.500
0.861 0.361 0.500
```

## Properties
Space group = No. 127
DOS at the Fermi energy = 2.660 states/eV/cell
Total DFT energy (no corrections) = -3.866 eV per atom
Energy relative to the elements, uncorrected = -0.0185 eV/atom



(12)
An optimized crystal structure of InSbS2, computed with PBE.

```
InSbS2
1.0
3.757 0.000 0.000
-1.879 3.254 0.000
0.000 0.000 25.016
In Sb S
3 3 6
Direct
0.000 0.000 0.000
0.333 0.667 0.667
0.667 0.333 0.333
0.000 0.000 0.500
0.333 0.667 0.167
0.667 0.333 0.833
0.000 0.000 0.393
0.000 0.000 0.607
0.333 0.667 0.059
0.333 0.667 0.274
0.667 0.333 0.726
0.667 0.333 0.941
```

## Properties
Space group = No. 166
DOS at the Fermi energy = 2.079 states/eV/cell
Total DFT energy (no corrections) = -4.080 eV per atom
Energy relative to the elements, uncorrected = -0.3013 eV/atom



(13)
An optimized crystal structure of InSbS3, computed with PBE.

```
InSbS3
1.0
10.181 -2.012 0.000
10.181 2.012 0.000
-0.284 0.000 6.529
In Sb S
2 2 6
Direct
0.099 0.099 0.060
0.901 0.901 0.940
0.411 0.411 0.439
0.589 0.589 0.561
0.016 0.016 0.754
0.162 0.162 0.408
0.341 0.341 0.106
0.659 0.659 0.894
0.838 0.838 0.592
0.984 0.984 0.246
```

## Properties
Space group = No. 12
Total DFT energy (no corrections) = -4.184 eV per atom
Energy relative to the elements, uncorrected = -0.3356 eV/atom



(14)
An optimized crystal structure of InSbS2, computed with PBE.

```
InSbS2
1.0
3.961 0.000 0.000
-1.980 3.430 0.000
0.000 0.000 23.351
In Sb S
3 3 6
Direct
0.000 0.000 0.000
0.333 0.667 0.667
0.667 0.333 0.333
0.000 0.000 0.180
0.333 0.667 0.847
0.667 0.333 0.513
0.000 0.000 0.588
0.000 0.000 0.784
0.333 0.667 0.254
0.333 0.667 0.451
0.667 0.333 0.118
0.667 0.333 0.921
```

## Properties
Space group = No. 160
Total DFT energy (no corrections) = -4.025 eV per atom
Energy relative to the elements, uncorrected = -0.2463 eV/atom



(15)
An optimized crystal structure of In3SbS3, computed with PBE.

```
In3SbS3
1.0
3.383 1.953 10.280
-3.383 1.953 10.280
0.000 -3.906 10.280
In Sb S
6 2 6
Direct
0.062 0.426 0.730
0.270 0.938 0.574
0.426 0.730 0.062
0.574 0.270 0.938
0.730 0.062 0.426
0.938 0.574 0.270
0.327 0.327 0.327
0.673 0.673 0.673
0.125 0.786 0.423
0.214 0.577 0.875
0.423 0.125 0.786
0.577 0.875 0.214
0.786 0.423 0.125
0.875 0.214 0.577
```

## Properties
Space group = No. 148
DOS at the Fermi energy = 0.622 states/eV/cell
Total DFT energy (no corrections) = -3.842 eV per atom
Energy relative to the elements, uncorrected = -0.3107 eV/atom



(16)
An optimized crystal structure of In4SbS3, computed with PBE.

```
In4SbS3
1.0
10.757 0.000 0.000
0.000 7.027 0.000
0.000 0.000 6.168
In Sb S
8 2 6
Direct
0.000 0.176 0.000
0.000 0.797 0.563
0.239 0.690 0.047
0.261 0.310 0.547
0.500 0.203 0.063
0.500 0.824 0.500
0.739 0.310 0.547
0.761 0.690 0.047
0.000 0.198 0.494
0.500 0.802 0.994
0.000 0.749 0.977
0.220 0.682 0.482
0.280 0.318 0.982
0.500 0.251 0.477
0.720 0.318 0.982
0.780 0.682 0.482
```

## Properties
Space group = No. 31
DOS at the Fermi energy = 5.333 states/eV/cell
Total DFT energy (no corrections) = -3.732 eV per atom
Energy relative to the elements, uncorrected = -0.2996 eV/atom



(17)
An optimized crystal structure of In2SbS, computed with PBE.

```
In2SbS
1.0
3.978 0.000 0.000
-1.989 3.445 0.000
0.000 0.000 23.018
In Sb S
6 3 3
Direct
0.000 0.000 0.000
0.000 0.000 0.157
0.333 0.667 0.667
0.333 0.667 0.824
0.667 0.333 0.333
0.667 0.333 0.490
0.000 0.000 0.581
0.333 0.667 0.248
0.667 0.333 0.915
0.000 0.000 0.401
0.333 0.667 0.068
0.667 0.333 0.734
```

## Properties
Space group = No. 160
DOS at the Fermi energy = 3.873 states/eV/cell
Total DFT energy (no corrections) = -3.525 eV per atom
Energy relative to the elements, uncorrected = -0.0938 eV/atom



(18)
An optimized crystal structure of InSbS2, computed with PBE.

```
InSbS2
1.0
4.297 0.000 0.000
0.000 3.996 0.000
-1.765 0.000 6.143
In Sb S
1 1 2
Direct
0.000 0.000 0.000
0.384 0.500 0.508
0.469 0.500 0.896
0.779 0.000 0.497
```

## Properties
Space group = No. 6
Total DFT energy (no corrections) = -4.023 eV per atom
Energy relative to the elements, uncorrected = -0.2436 eV/atom



(19)
An optimized crystal structure of In4SbS3, computed with PBE.

```
In4SbS3
1.0
5.821 0.000 0.000
-0.006 6.049 0.000
-2.899 -3.026 5.645
In Sb S
4 1 3
Direct
0.000 0.000 0.000
0.235 0.748 0.479
0.476 0.480 0.959
0.737 0.299 0.479
0.735 0.807 0.480
0.235 0.297 0.479
0.486 0.044 0.981
0.986 0.543 0.978
```

## Properties
Space group = No. 1
DOS at the Fermi energy = 3.025 states/eV/cell
Total DFT energy (no corrections) = -3.748 eV per atom
Energy relative to the elements, uncorrected = -0.3161 eV/atom



(20)
An optimized crystal structure of InSb2S4, computed with PBE.

```
InSb2S4
1.0
7.395 0.000 0.000
0.000 7.178 0.000
-2.113 0.000 7.842
In Sb S
2 4 8
Direct
0.241 0.250 0.296
0.759 0.750 0.704
0.176 0.750 0.100
0.290 0.750 0.579
0.710 0.250 0.421
0.824 0.250 0.900
0.016 0.515 0.235
0.016 0.985 0.235
0.478 0.250 0.588
0.487 0.250 0.140
0.513 0.750 0.860
0.522 0.750 0.412
0.984 0.015 0.765
0.984 0.485 0.765
```

## Properties
Space group = No. 11
DOS at the Fermi energy = 5.507 states/eV/cell
Total DFT energy (no corrections) = -4.078 eV per atom
Energy relative to the elements, uncorrected = -0.1501 eV/atom